Record 1
A plane-wave DFT calculation with GGA-PBE was carried out for a relaxed structure of YTh2Cd.

a b c (Å): 3.377 3.377 12.549
angles (deg): 82.27 82.27 60.00
Positions (direct):
Y 0.000 0.000 0.000
Th 0.909 0.909 0.272
Th 0.091 0.091 0.728
Cd 0.500 0.500 0.500

Properties
SG: R-3m (166)
Crystal system: trigonal
Raw total energy in eV per atom: -5.354
Total moment in μB per atom: 0.00
Polymorph energy (0 for the lowest one) in meV per atom: 224
Energy of formation in eV/atom: 0.201
Mass density in g/cm3: 9.02


Record 2
A plane-wave DFT calculation with GGA-PBE was carried out for a relaxed structure of ThB4Mo.

a b c (Å): 3.788 6.113 11.820
angles (deg): 90.00 90.00 90.00
Positions (direct):
B 0.500 0.282 0.316
B 0.500 0.218 0.816
B 0.500 0.974 0.310
B 0.500 0.526 0.810
B 0.500 0.361 0.468
B 0.500 0.639 0.532
B 0.500 0.112 0.546
B 0.500 0.861 0.032
B 0.500 0.026 0.690
B 0.500 0.474 0.190
B 0.500 0.388 0.046
B 0.500 0.888 0.454
B 0.500 0.139 0.968
B 0.500 0.612 0.954
B 0.500 0.782 0.184
B 0.500 0.718 0.684
Th 0.000 0.876 0.849
Th 0.000 0.376 0.651
Th 0.000 0.624 0.349
Th 0.000 0.124 0.151
Mo 0.000 0.870 0.585
Mo 0.000 0.370 0.915
Mo 0.000 0.630 0.085
Mo 0.000 0.130 0.415

Properties
SG: Pbam (55)
Crystal system: orthorhombic
Raw total energy in eV per atom: -8.075
Total moment in μB per atom: 0.00
Energy of formation in eV/atom: -0.582
Mass density in g/cm3: 9.01


Record 3
A plane-wave DFT calculation with GGA-PBE was carried out for a relaxed structure of Sc4CdRh.

a b c (Å): 5.617 5.617 5.617
angles (deg): 60.00 60.00 60.00
Positions (direct):
Sc 0.374 0.879 0.374
Sc 0.374 0.374 0.879
Sc 0.879 0.374 0.374
Sc 0.374 0.374 0.374
Cd 0.750 0.750 0.750
Rh 0.000 0.000 0.000

Properties
SG: F-43m (216)
Crystal system: cubic
Raw total energy in eV per atom: -5.384
Total moment in μB per atom: 0.00
Polymorph energy (0 for the lowest one) in meV per atom: 692
Energy of formation in eV/atom: 0.215
Mass density in g/cm3: 5.24


Record 4
A plane-wave DFT calculation with GGA-PBE was carried out for a relaxed structure of Na3NpCd2Se6.

a b c (Å): 7.038 7.038 7.421
angles (deg): 99.08 99.08 120.04
Last column: magnetic moment on the atom in μB.
Positions (direct):
Np 0.000 0.000 0.000  2.84
Se 0.248 0.248 0.772  -0.10
Se 0.599 0.924 0.771  -0.09
Se 0.076 0.401 0.229  -0.09
Se 0.752 0.752 0.228  -0.10
Se 0.401 0.076 0.229  -0.09
Se 0.924 0.599 0.771  -0.09
Cd 0.666 0.334 0.000  0.00
Cd 0.334 0.666 0.000  0.00
Na 0.170 0.830 0.500  0.00
Na 0.830 0.170 0.500  0.00
Na 0.500 0.500 0.500  0.00

Properties
SG: C2/m (12)
Crystal system: monoclinic
E_form (uncorrected) in meV/atom: -894
Raw total energy in eV per atom: -4.197
Total moment in μB per atom: 0.17
Mass density in g/cm3: 5.52


Record 5
A plane-wave DFT calculation with GGA-PBE was carried out for a relaxed structure of Pr3IrAu.

a b c (Å): 4.621 7.779 15.873
angles (deg): 90.00 90.00 90.00
Positions (direct):
Pr 0.250 0.366 0.554
Pr 0.250 0.676 0.719
Pr 0.250 0.017 0.401
Pr 0.750 0.983 0.599
Pr 0.750 0.134 0.054
Pr 0.250 0.866 0.946
Pr 0.250 0.517 0.099
Pr 0.750 0.634 0.446
Pr 0.250 0.176 0.781
Pr 0.750 0.324 0.281
Pr 0.750 0.483 0.901
Pr 0.750 0.824 0.219
Ir 0.250 0.265 0.956
Ir 0.250 0.765 0.544
Ir 0.750 0.735 0.044
Ir 0.750 0.235 0.456
Au 0.250 0.115 0.198
Au 0.250 0.615 0.302
Au 0.750 0.385 0.698
Au 0.750 0.885 0.802

Properties
SG: Pnma (62)
Crystal system: orthorhombic
Raw total energy in eV per atom: -5.920
Total moment in μB per atom: 0.00
Polymorph energy (0 for the lowest one) in meV per atom: 0
Energy of formation in eV/atom: -0.625
Mass density in g/cm3: 9.45


Record 6
A plane-wave DFT calculation with GGA-PBE was carried out for a relaxed structure of TmTh5Tl4.

a b c (Å): 3.609 10.001 8.885
angles (deg): 82.67 101.72 90.00
Positions (direct):
Th 0.186 0.399 0.371
Th 0.155 0.771 0.309
Th 0.814 0.601 0.629
Th 0.500 0.500 0.000
Th 0.845 0.229 0.691
Tm 0.500 0.000 0.000
Tl 0.321 0.918 0.642
Tl 0.679 0.082 0.358
Tl 0.965 0.771 0.929
Tl 0.035 0.229 0.071

Properties
SG: C2/m (12)
Crystal system: monoclinic
Raw total energy in eV per atom: -5.058
Total moment in μB per atom: 0.00
Energy of formation in eV/atom: 0.046
Mass density in g/cm3: 11.45


Record 7
A plane-wave DFT calculation with GGA-PBE was carried out for a relaxed structure of BaCeHg2Pb2.

a b c (Å): 5.092 5.092 8.752
angles (deg): 90.00 90.00 120.00
Last column: magnetic moment on the atom in μB.
Positions (direct):
Hg 0.333 0.667 0.661  0.00
Hg 0.667 0.333 0.339  0.00
Pb 0.667 0.333 0.748  0.01
Pb 0.333 0.667 0.252  0.01
Ba 0.000 0.000 0.000  0.01
Ce 0.000 0.000 0.500  0.91

Properties
SG: P-3m1 (164)
Crystal system: trigonal
Raw total energy in eV per atom: -3.061
Total moment in μB per atom: 0.18
Energy of formation in eV/atom: -0.415
Mass density in g/cm3: 9.24


Record 8
A plane-wave DFT calculation with GGA-PBE was carried out for a relaxed structure of Cr2CoPdN.

a b c (Å): 3.817 3.817 3.827
angles (deg): 90.00 90.00 90.00
Last column: magnetic moment on the atom in μB.
Positions (direct):
Cr 0.500 0.000 0.000  0.27
Cr 0.000 0.500 0.000  0.27
Co 0.000 0.000 0.500  0.70
Pd 0.500 0.500 0.500  0.11
N 0.000 0.000 0.000  -0.01

Properties
SG: P4/mmm (123)
Crystal system: tetragonal
E_form (uncorrected) in meV/atom: -113
Raw total energy in eV per atom: -8.088
Total moment in μB per atom: 0.26
Mass density in g/cm3: 8.44


Record 9
A plane-wave DFT calculation with GGA-PBE was carried out for a relaxed structure of SrPuPd.

a b c (Å): 4.489 4.489 8.556
angles (deg): 90.00 90.00 90.00
Last column: magnetic moment on the atom in μB.
Positions (direct):
Pd 0.000 0.500 0.259  0.02
Pd 0.500 0.000 0.741  0.02
Pu 0.500 0.500 0.500  5.59
Pu 0.000 0.000 0.500  5.59
Sr 0.000 0.500 0.860  0.03
Sr 0.500 0.000 0.140  0.03

Properties
SG: P4/nmm (129)
Crystal system: tetragonal
Raw total energy in eV per atom: -7.396
Total moment in μB per atom: 2.02
Polymorph energy (0 for the lowest one) in meV per atom: 0
Energy of formation in eV/atom: -0.327
Mass density in g/cm3: 8.44


Record 10
A plane-wave DFT calculation with GGA-PBE was carried out for a relaxed structure of K3ZrPa2N6.

a b c (Å): 6.094 6.094 6.748
angles (deg): 98.64 98.64 120.01
Positions (direct):
N 0.055 0.386 0.165
N 0.386 0.055 0.165
N 0.614 0.945 0.835
N 0.276 0.276 0.835
N 0.945 0.614 0.835
N 0.724 0.724 0.165
K 0.500 0.500 0.500
K 0.837 0.163 0.500
K 0.163 0.837 0.500
Pa 0.667 0.333 0.000
Pa 0.333 0.667 0.000
Zr 0.000 0.000 0.000

Properties
SG: C2/m (12)
Crystal system: monoclinic
E_form (uncorrected) in meV/atom: -1025
Raw total energy in eV per atom: -7.758
Total moment in μB per atom: 0.00
Mass density in g/cm3: 6.06


Record 11
A plane-wave DFT calculation with GGA-PBE was carried out for a relaxed structure of LiMgI2.

a b c (Å): 6.874 6.874 8.418
angles (deg): 65.90 65.90 90.00
Positions (direct):
Mg 0.000 0.000 0.000
Mg 0.750 0.250 0.500
I 0.160 0.625 0.250
I 0.375 0.410 0.750
I 0.590 0.125 0.250
I 0.875 0.840 0.750
Li 0.250 0.750 0.500
Li 0.500 0.500 0.000

Properties
SG: I-42d (122)
Crystal system: tetragonal
E_form (uncorrected) in meV/atom: -647
Raw total energy in eV per atom: -2.300
Total moment in μB per atom: 0.00
Polymorph energy (0 for the lowest one) in meV per atom: 0
Mass density in g/cm3: 2.91


Record 12
A plane-wave DFT calculation with GGA-PBE was carried out for a relaxed structure of CeCdNiAg.

a b c (Å): 4.869 4.869 4.869
angles (deg): 60.00 60.00 60.00
Last column: magnetic moment on the atom in μB.
Positions (direct):
Ag 0.000 0.000 0.000  0.00
Ce 0.250 0.250 0.250  0.45
Ni 0.500 0.500 0.500  -0.08
Cd 0.750 0.750 0.750  0.00

Properties
SG: F-43m (216)
Crystal system: cubic
Raw total energy in eV per atom: -3.986
Total moment in μB per atom: 0.12
Energy of formation in eV/atom: -0.115
Mass density in g/cm3: 8.53